First-principles (PBE) data for a geometry-optimized BaTbPt structure, as listed in OQMD.

Summary:
**E above lowest polymorph**: 0 meV/atom
**SG**: F-43m
**Total moment**: 0.002 μB/cell

abc: 5.1521 5.1521 5.1521
angles: 60.00 60.00 60.00
Fractional coordinates of all 3 atoms:
Ba  0.0000  0.0000  0.0000
Tb  0.5000  0.5000  0.5000
Pt  0.2500  0.2500  0.2500

---

First-principles (PBE) data for a geometry-optimized CuNiBPb structure, as listed in OQMD.

Summary:
**E above lowest polymorph**: 0 meV/atom
**SG**: F-43m
**Total moment**: 0.007 μB/cell

abc: 4.3206 4.3206 4.3206
angles: 60.00 60.00 60.00
Fractional coordinates of all 4 atoms:
Cu  0.0000  0.0000  0.0000
Ni  0.5000  0.5000  0.5000
B  0.2500  0.2500  0.2500
Pb  0.7500  0.7500  0.7500

---

First-principles (PBE) data for a geometry-optimized RbLiTbTe3 structure, as listed in OQMD.

Summary:
**E above lowest polymorph**: 34 meV/atom
**SG**: Pnma
**Total moment**: 0.006 μB/cell

abc: 11.7966 4.7910 13.9592
angles: 90.00 90.00 90.00
Fractional coordinates of all 24 atoms:
Rb  0.1629  0.2500  0.0131
Rb  0.3371  0.7500  0.5131
Rb  0.6629  0.2500  0.4869
Rb  0.8371  0.7500  0.9869
Li  0.2168  0.2500  0.7175
Li  0.2832  0.7500  0.2175
Li  0.7168  0.2500  0.7825
Li  0.7832  0.7500  0.2825
Tb  0.0099  0.2500  0.3418
Tb  0.4901  0.7500  0.8418
Tb  0.5099  0.2500  0.1582
Tb  0.9901  0.7500  0.6582
Te  0.0420  0.7500  0.1964
Te  0.1112  0.2500  0.5494
Te  0.2173  0.7500  0.7989
Te  0.2827  0.2500  0.2989
Te  0.3888  0.7500  0.0494
Te  0.4580  0.2500  0.6964
Te  0.5420  0.7500  0.3036
Te  0.6112  0.2500  0.9506
Te  0.7173  0.7500  0.7011
Te  0.7827  0.2500  0.2011
Te  0.8888  0.7500  0.4506
Te  0.9580  0.2500  0.8036

---

First-principles (PBE) data for a geometry-optimized Li2Ge2PtAu structure, as listed in OQMD.

Summary:
**Total DFT energy (no corrections)**: -25.31 eV for the cell shown
**SG**: P-6m2
**Total moment**: 0.001 μB/cell

abc: 4.4158 4.4158 5.6464
angles: 90.00 90.00 120.00
Fractional coordinates of all 6 atoms:
Li  0.0000  0.0000  0.2439
Li  0.0000  0.0000  0.7561
Ge  0.3333  0.6667  0.0000
Ge  0.6667  0.3333  0.5000
Pt  0.6667  0.3333  0.0000
Au  0.3333  0.6667  0.5000

---

First-principles (PBE) data for a geometry-optimized Mg2Pd4Br3 structure, as listed in OQMD.

Summary:
**Total DFT energy (no corrections)**: -30.96 eV for the cell shown
**SG**: P-6

abc: 7.1065 7.1065 4.1453
angles: 90.00 90.00 120.00
Fractional coordinates of all 9 atoms:
Mg  0.0000  0.0000  0.0000
Mg  0.3333  0.6667  0.5000
Pd  0.2382  0.0238  0.5000
Pd  0.6667  0.3333  0.5000
Pd  0.7856  0.7618  0.5000
Pd  0.9762  0.2144  0.5000
Br  0.0010  0.4880  0.0000
Br  0.4870  0.9990  0.0000
Br  0.5120  0.5130  0.0000

---

First-principles (PBE) data for a geometry-optimized GdTeNO structure, as listed in OQMD.

Summary:
**E above lowest polymorph**: 0 meV/atom
**SG**: Pca2_1
**Total moment**: 0.003 μB/cell

abc: 5.6591 9.1934 5.6746
angles: 90.00 90.00 90.00
Fractional coordinates of all 16 atoms:
Gd  0.0312  0.1154  0.0000
Gd  0.4688  0.1154  0.5000
Gd  0.5312  0.8846  0.0000
Gd  0.9688  0.8846  0.5000
Te  0.0431  0.3883  0.4655
Te  0.4569  0.3883  0.9655
Te  0.5431  0.6117  0.4655
Te  0.9569  0.6117  0.9655
N  0.2242  0.2887  0.7323
N  0.2758  0.2887  0.2323
N  0.7242  0.7113  0.7323
N  0.7758  0.7113  0.2323
O  0.2489  0.9755  0.2503
O  0.2511  0.9755  0.7503
O  0.7489  0.0245  0.2503
O  0.7511  0.0245  0.7503

---

First-principles (PBE) data for a geometry-optimized Ho4Au2Se structure, as listed in OQMD.

Summary:
**Total DFT energy (no corrections)**: -32.80 eV for the cell shown
**SG**: P3m1
**Total moment**: 0.475 μB/cell

abc: 4.0317 4.0317 15.0160
angles: 90.00 90.00 120.00
Fractional coordinates of all 7 atoms:
Ho  0.0000  0.0000  0.0000
Ho  0.0000  0.0000  0.4816
Ho  0.3333  0.6667  0.2928
Ho  0.3333  0.6667  0.7766
Au  0.3333  0.6667  0.5855
Au  0.6667  0.3333  0.8887
Se  0.0000  0.0000  0.1853

---

First-principles (PBE) data for a geometry-optimized HgMoPd structure, as listed in OQMD.

Summary:
**Formation energy**: 0.610 eV per atom
**SG**: F-43m
**Total moment**: 0.028 μB/cell

abc: 4.3594 4.3594 4.3594
angles: 60.00 60.00 60.00
Fractional coordinates of all 3 atoms:
Hg  0.0000  0.0000  0.0000
Mo  0.5000  0.5000  0.5000
Pd  0.2500  0.2500  0.2500